(1)
# Ca2CdH6Ir

A relaxed structure of Ca2CdH6Ir (PBE, Alexandria via LeMat-Bulk).

- Calculated volume: 141.27 Å³ per cell
- Electronic total energy: -3.838 eV/atom

```
10
Lattice="-1.984 -1.547 6.893 -1.091 -4.398 -1.301 4.361 1.007 1.481" Properties=species:S:1:pos:R:3 pbc="T T T"
H 0.109 -1.519 0.711
H 1.715 -1.252 7.003
H -0.435 -1.748 6.273
H 1.177 -3.420 6.362
H 1.721 -3.191 0.800
H -0.429 -3.687 0.070
Ir 0.000 0.000 0.000
Ca -0.867 -3.839 5.163
Ca 2.153 -1.099 1.910
Cd -0.992 -0.774 3.447
```

---

(2)
# In3SbBr

A relaxed structure of In3SbBr (PBE, Alexandria via LeMat-Bulk).

- Calculated volume: 203.64 Å³ per cell
- Electronic total energy: -2.643 eV/atom
- E above lowest polymorph: 0.000 eV/atom
- Energy relative to the elements, uncorrected: 0.16 eV per atom

```
5
Lattice="-1.107 1.505 5.579 -5.165 -2.805 -0.268 2.591 -4.948 1.849" Properties=species:S:1:pos:R:3 pbc="T T T"
In -0.553 0.753 2.789
In 1.295 -2.474 0.925
In -2.582 -1.402 -0.134
Sb 0.000 0.000 0.000
Br -1.840 -3.123 3.580
```

---

(3)
# SrHSe2N

A relaxed structure of SrHSe2N (PBE, Alexandria via LeMat-Bulk).

- Calculated volume: 91.90 Å³ per cell
- Electronic total energy: -3.759 eV/atom
- E above lowest polymorph: 0.000 eV/atom

```
5
Lattice="3.974 0.000 0.000 0.000 3.974 0.000 0.000 0.000 5.819" Properties=species:S:1:pos:R:3 pbc="T T T"
N 0.000 0.000 2.909
Se 1.987 0.000 0.000
Se 0.000 1.987 0.000
H 0.000 0.000 0.000
Sr 1.987 1.987 2.909
```

---

(4)
# CsBPb2

A relaxed structure of CsBPb2 (PBE, Alexandria via LeMat-Bulk).

- Calculated volume: 307.30 Å³ per cell
- Energy of formation: 0.64 eV per atom
- Electronic total energy: -3.101 eV/atom

```
8
Lattice="7.511 0.000 0.000 0.000 7.511 0.000 3.755 3.755 5.448" Properties=species:S:1:pos:R:3 pbc="T T T"
B 3.755 3.755 0.000
B 3.755 7.511 2.724
Pb 5.633 6.854 4.086
Pb 4.411 1.878 1.362
Pb 3.099 5.633 1.362
Pb 9.388 8.167 4.086
Cs 0.000 0.000 0.000
Cs 7.511 3.755 2.724
```

---

(5)
# La2NiW

A relaxed structure of La2NiW (PBE, Alexandria via LeMat-Bulk).

- Calculated volume: 84.31 Å³ per cell
- Energy of formation: 0.58 eV per atom
- Electronic total energy: -6.563 eV/atom
- E above lowest polymorph: 0.365 eV/atom

```
4
Lattice="-0.516 3.841 3.035 -4.098 2.722 -0.150 -3.231 -0.210 3.707" Properties=species:S:1:pos:R:3 pbc="T T T"
W -1.961 1.588 1.648
La 0.000 0.000 0.000
La -5.884 4.764 4.944
Ni -3.923 3.176 3.296
```

---

(6)
# DyTiFe5Co6

A relaxed structure of DyTiFe5Co6 (PBE, Alexandria via LeMat-Bulk).

- Calculated volume: 165.52 Å³ per cell
- Energy of formation: -0.13 eV per atom
- Electronic total energy: -7.626 eV/atom

```
13
Lattice="-2.341 4.191 4.218 2.341 -4.191 4.218 2.341 4.191 -4.218" Properties=species:S:1:pos:R:3 pbc="T T T"
Co 0.000 0.001 3.020
Co 0.000 2.921 0.000
Co 2.341 0.020 1.882
Co 0.000 4.211 2.336
Co 0.000 0.001 5.416
Co 0.000 2.327 4.218
Fe 3.508 -2.070 2.108
Fe 1.167 2.121 2.110
Fe 1.173 -2.070 2.108
Fe 2.341 1.917 0.000
Fe -1.167 2.121 2.110
Ti 0.000 5.237 0.000
Dy 0.000 0.026 0.000
```

---

no.,N(E_F) (states/eV/atom)
1,0.174
2,0.727
3,0.367
4,0.352
5,1.432
6,1.116